SnH4NCl3 | PBE-GGA | optimized geometry

Lattice parameters (Å, degrees): 7.399 8.531 12.463 90.09 90.71 90.03
Space group P1 (No. 1)
One atom of each set of equivalent atoms:
1 Sn 0.000 0.000 0.000
2 Sn 0.004 0.501 0.998
3 Sn 0.502 0.687 0.512
4 Sn 0.515 0.187 0.485
5 H 0.062 0.943 0.707
6 H 0.075 0.115 0.640
7 H 0.078 0.945 0.571
8 H 0.133 0.504 0.363
9 H 0.374 0.745 0.178
10 H 0.437 0.307 0.766
11 H 0.440 0.229 0.893
12 H 0.467 0.908 0.129
13 H 0.539 0.406 0.871
14 H 0.566 0.732 0.106
15 H 0.572 0.810 0.233
16 H 0.635 0.244 0.823
17 H 0.883 0.005 0.633
18 H 0.938 0.446 0.426
19 H 0.943 0.615 0.357
20 H 0.952 0.443 0.290
21 N 0.024 0.002 0.637
22 N 0.497 0.799 0.162
23 N 0.511 0.296 0.837
24 N 0.992 0.502 0.360
25 Cl 0.068 0.716 0.148
26 Cl 0.122 0.812 0.855
27 Cl 0.242 0.859 0.438
28 Cl 0.285 0.323 0.611
29 Cl 0.322 0.106 0.037
30 Cl 0.431 0.492 0.350
31 Cl 0.585 0.993 0.647
32 Cl 0.683 0.607 0.962
33 Cl 0.730 0.823 0.386
34 Cl 0.774 0.360 0.560
35 Cl 0.884 0.313 0.142
36 Cl 0.940 0.216 0.850

Calculated values
Raw total energy   -4.25 eV per atom
M_tot   0.00 Bohr magnetons per cell